Entry 1:
The following is a PBE calculation of a relaxed PaGa5Rh6 crystal, from the Alexandria database.

Values from the calculation:
For the energy relative to the elements, the calculation gives -8.45 eV per formula unit. The calculation puts the total magnetic moment at 0.000 μB per formula unit. The theoretical density comes out at 10.9 g/cm3. The crystal system is orthorhombic.

abc: 4.2020 12.7257 6.8370
angles: 90.00 90.00 90.00
Last column: nearest neighbours and their distance in Å.
Space group Cmmm (No. 65)
Unique sites:
Pa1 0.0000 0.0000 0.0000 [2 per cell]  8 Rh 2.80-2.81, 4 Ga 3.10
Ga1 0.0000 0.0000 0.5000 [2 per cell]  8 Rh 2.62-2.68
Ga2 0.0000 0.3212 0.0000 [4 per cell]  8 Rh 2.66-2.93, 2 Ga 2.77
Ga3 0.0000 0.3349 0.5000 [4 per cell]  8 Rh 2.62-2.66
Rh1 0.0000 0.1685 0.2652 [8 per cell]  7 Ga 2.64-2.78, 1 Pa 2.81, 2 Rh 2.95
Rh2 0.0000 0.5000 0.2702 [4 per cell]  6 Ga 2.62-2.93, 2 Pa 2.80

Entry 2:
The following is a PBE calculation of a relaxed ReSeCl4 crystal, from the Alexandria database.

Values from the calculation:
As for the total energy: -58.5 eV for the cell shown. The calculation puts the total magnetic moment at 4.904 μB per formula unit. The theoretical density comes out at 5.0 g/cm3. The crystal system is cubic.

abc: 8.1456 8.1456 8.1456
angles: 90.00 90.00 90.00
Last column: nearest neighbours and their distance in Å.
Space group F-43m (No. 216)
Unique sites:
Re1 0.0000 0.0000 0.0000 [4 per cell]  12 Cl 3.38, 4 Se 3.53
Se1 0.2500 0.2500 0.7500 [4 per cell]  12 Cl 3.38, 4 Re 3.53
Cl1 0.1255 0.1255 0.3745 [16 per cell]  6 Cl 2.87-2.89

Entry 3:
The following is a PBE calculation of a relaxed K2TbTlS4 crystal, from the Alexandria database.

Values from the calculation:
As for the total energy: -140.1 eV for the cell shown. The calculation puts the total magnetic moment at 0.000 μB per formula unit. The theoretical density comes out at 4.5 g/cm3. The crystal system is monoclinic.

abc: 11.7846 12.0548 8.3226
angles: 90.00 134.80 90.00
Last column: nearest neighbours and their distance in Å.
Space group C2/c (No. 15)
Unique sites:
K1 0.0000 0.0000 0.0000 [4 per cell]  6 S 3.13-3.20
K2 0.2500 0.2500 0.0000 [4 per cell]  6 S 3.12-3.14
Tb1 0.0000 0.5000 0.0000 [4 per cell]  6 S 2.78-2.85
Tl1 0.2500 0.2500 0.5000 [4 per cell]  6 S 2.77-2.93
S1 0.0010 0.2643 0.4701 [8 per cell]  2 Tl 2.77-2.79, 1 Tb 2.85
S2 0.2199 0.4921 0.4695 [8 per cell]  2 Tb 2.78, 1 Tl 2.93

Entry 4:
The following is a PBE calculation of a relaxed Pa2CuGeN5 crystal, from the Alexandria database.

Values from the calculation:
As for the total energy: -304.4 eV for the cell shown. The calculation puts the total magnetic moment at 0.000 μB per formula unit. The theoretical density comes out at 9.9 g/cm3. The crystal system is orthorhombic.

abc: 3.4035 13.8075 9.5199
angles: 90.00 90.00 90.00
Last column: nearest neighbours and their distance in Å.
Space group Cmc2_1 (No. 36)
Unique sites:
Pa1 0.0000 0.1258 0.0000 [4 per cell]  4 N 2.18-2.36
Pa2 0.0000 0.1326 0.3962 [4 per cell]  5 N 2.23-2.49
Cu1 0.0000 0.2310 0.6828 [4 per cell]  3 N 1.93-2.11
Ge1 0.0000 0.4410 0.1785 [4 per cell]  4 N 1.88-1.95
N1 0.0000 0.0411 0.7733 [4 per cell]  2 Ge 1.94
N2 0.0000 0.3004 0.4039 [4 per cell]  3 Pa 2.18-2.32
N3 0.0000 0.3193 0.0739 [4 per cell]  1 Ge 1.95, 2 Cu 2.11
N4 0.0000 0.3644 0.7453 [4 per cell]  1 Cu 1.93
N5 0.0000 0.4923 0.5059 [4 per cell]  1 Ge 1.88

Entry 5:
The following is a PBE calculation of a relaxed CsRhSe2O8 crystal, from the Alexandria database.

Values from the calculation:
As for the total energy: -194.9 eV for the cell shown. The calculation puts the total magnetic moment at 0.000 μB per formula unit. The theoretical density comes out at 4.2 g/cm3. The crystal system is trigonal.

abc: 5.0469 5.0469 28.0276
angles: 90.00 90.00 120.00
Last column: nearest neighbours and their distance in Å.
Space group R-3 (No. 148, hexagonal axes)
Unique sites:
Cs1 0.0000 0.0000 0.0000 [3 per cell]  6 O 3.19
Rh1 0.0000 0.0000 0.5000 [3 per cell]  6 O 2.05
Se1 0.0000 0.0000 0.2282 [6 per cell]  4 O 1.65-1.71
O1 0.0000 0.0000 0.2871 [6 per cell]  1 Se 1.65
O2 0.9995 0.3520 0.8772 [18 per cell]  1 Se 1.71

Entry 6:
The following is a PBE calculation of a relaxed Co2SbPb2 crystal, from the Alexandria database.

Values from the calculation:
As for the total energy: -47.7 eV for the cell shown. The calculation puts the total magnetic moment at 2.802 μB per formula unit. The theoretical density comes out at 10.4 g/cm3. The crystal system is tetragonal.

abc: 6.8963 6.8963 4.3915
angles: 90.00 90.00 90.00
Last column: nearest neighbours and their distance in Å.
Space group P4/mbm (No. 127)
Unique sites:
Co1 0.1229 0.3771 0.0000 [4 per cell]  1 Co 2.40
Sb1 0.0000 0.0000 0.0000 [2 per cell]  4 Co 2.74
Pb1 0.1683 0.6683 0.5000 [4 per cell]  6 Co 2.99, 1 Pb 3.28